Density functional theory data (PBE) for a relaxed structure of Cu4NiPd.

Properties
As for the space group: F-43m, No. 216. For the formation energy, the calculation gives 0.08 eV/atom.

Unit cell a=4.748 b=4.748 c=4.748 alpha=60.00 beta=60.00 gamma=60.00
Atoms (fractional coordinates):
Cu (0.125, 0.125, 0.125)
Cu (0.125, 0.125, 0.626)
Cu (0.125, 0.626, 0.125)
Cu (0.626, 0.125, 0.125)
Ni (0.750, 0.750, 0.750)
Pd (0.500, 0.500, 0.500)

Density functional theory data (PBE) for a relaxed structure of CuNi2Pd.

Properties
As for the space group: R-3m, No. 166. For the formation energy, the calculation gives 0.08 eV/atom.

Unit cell a=2.623 b=2.623 c=25.101 alpha=90.00 beta=90.00 gamma=120.00
Atoms (fractional coordinates):
Cu (0.000, 0.000, 0.000)
Cu (0.333, 0.667, 0.667)
Cu (0.667, 0.333, 0.333)
Ni (0.000, 0.000, 0.253)
Ni (0.000, 0.000, 0.747)
Ni (0.333, 0.667, 0.413)
Ni (0.333, 0.667, 0.920)
Ni (0.667, 0.333, 0.080)
Ni (0.667, 0.333, 0.587)
Pd (0.000, 0.000, 0.500)
Pd (0.333, 0.667, 0.167)
Pd (0.667, 0.333, 0.833)

Density functional theory data (PBE) for a relaxed structure of PmCuNiPd.

Properties
As for the space group: F-43m, No. 216. For the formation energy, the calculation gives -0.22 eV/atom.

Unit cell a=6.492 b=6.492 c=6.492 alpha=90.00 beta=90.00 gamma=90.00
Atoms (fractional coordinates):
Pm (0.000, 0.000, 0.000)
Pm (0.000, 0.500, 0.500)
Pm (0.500, 0.000, 0.500)
Pm (0.500, 0.500, 0.000)
Cu (0.250, 0.250, 0.750)
Cu (0.250, 0.750, 0.250)
Cu (0.750, 0.250, 0.250)
Cu (0.750, 0.750, 0.750)
Ni (0.250, 0.250, 0.250)
Ni (0.250, 0.750, 0.750)
Ni (0.750, 0.250, 0.750)
Ni (0.750, 0.750, 0.250)
Pd (0.000, 0.000, 0.500)
Pd (0.000, 0.500, 0.000)
Pd (0.500, 0.000, 0.000)
Pd (0.500, 0.500, 0.500)

Density functional theory data (PBE) for a relaxed structure of Pr2Cu12Ni3Pd.

Properties
As for the space group: R-3m, No. 166. For the formation energy, the calculation gives 0.47 eV/atom.

Unit cell a=7.581 b=7.581 c=7.581 alpha=61.99 beta=61.99 gamma=61.99
Atoms (fractional coordinates):
Pr (0.115, 0.115, 0.115)
Pr (0.885, 0.885, 0.885)
Cu (0.117, 0.628, 0.628)
Cu (0.141, 0.141, 0.617)
Cu (0.141, 0.617, 0.141)
Cu (0.372, 0.372, 0.883)
Cu (0.372, 0.883, 0.372)
Cu (0.383, 0.859, 0.859)
Cu (0.617, 0.141, 0.141)
Cu (0.628, 0.117, 0.628)
Cu (0.628, 0.628, 0.117)
Cu (0.859, 0.383, 0.859)
Cu (0.859, 0.859, 0.383)
Cu (0.883, 0.372, 0.372)
Ni (0.000, 0.500, 0.500)
Ni (0.500, 0.000, 0.500)
Ni (0.500, 0.500, 0.000)
Pd (0.500, 0.500, 0.500)

Density functional theory data (PBE) for a relaxed structure of Pr2Cu5Ni2Pd.

Properties
As for the space group: P4/mbm, No. 127. For the formation energy, the calculation gives -0.17 eV/atom.

Unit cell a=9.130 b=9.130 c=3.886 alpha=90.00 beta=90.00 gamma=90.00
Atoms (fractional coordinates):
Pr (0.185, 0.315, 0.000)
Pr (0.315, 0.815, 0.000)
Pr (0.685, 0.185, 0.000)
Pr (0.815, 0.685, 0.000)
Cu (0.000, 0.500, 0.500)
Cu (0.053, 0.796, 0.500)
Cu (0.204, 0.053, 0.500)
Cu (0.296, 0.553, 0.500)
Cu (0.447, 0.296, 0.500)
Cu (0.500, 0.000, 0.500)
Cu (0.553, 0.704, 0.500)
Cu (0.704, 0.447, 0.500)
Cu (0.796, 0.947, 0.500)
Cu (0.947, 0.204, 0.500)
Ni (0.112, 0.612, 0.000)
Ni (0.388, 0.112, 0.000)
Ni (0.612, 0.888, 0.000)
Ni (0.888, 0.388, 0.000)
Pd (0.000, 0.000, 0.000)
Pd (0.500, 0.500, 0.000)

Density functional theory data (PBE) for a relaxed structure of Pr2Cu5NiPd2.

Properties
As for the space group: P4/mbm, No. 127. For the formation energy, the calculation gives -0.17 eV/atom.

Unit cell a=9.610 b=9.610 c=3.745 alpha=90.00 beta=90.00 gamma=90.00
Atoms (fractional coordinates):
Pr (0.179, 0.321, 0.000)
Pr (0.321, 0.821, 0.000)
Pr (0.679, 0.179, 0.000)
Pr (0.821, 0.679, 0.000)
Cu (0.000, 0.500, 0.500)
Cu (0.048, 0.818, 0.500)
Cu (0.182, 0.048, 0.500)
Cu (0.318, 0.548, 0.500)
Cu (0.452, 0.318, 0.500)
Cu (0.500, 0.000, 0.500)
Cu (0.548, 0.682, 0.500)
Cu (0.682, 0.452, 0.500)
Cu (0.818, 0.952, 0.500)
Cu (0.952, 0.182, 0.500)
Ni (0.000, 0.000, 0.000)
Ni (0.500, 0.500, 0.000)
Pd (0.123, 0.623, 0.000)
Pd (0.377, 0.123, 0.000)
Pd (0.623, 0.877, 0.000)
Pd (0.877, 0.377, 0.000)

Density functional theory data (PBE) for a relaxed structure of CuNiPdRh.

Properties
As for the space group: F-43m, No. 216. For the formation energy, the calculation gives 0.07 eV/atom.

Unit cell a=5.976 b=5.976 c=5.976 alpha=90.00 beta=90.00 gamma=90.00
Atoms (fractional coordinates):
Cu (0.000, 0.000, 0.000)
Cu (0.000, 0.500, 0.500)
Cu (0.500, 0.000, 0.500)
Cu (0.500, 0.500, 0.000)
Ni (0.000, 0.000, 0.500)
Ni (0.000, 0.500, 0.000)
Ni (0.500, 0.000, 0.000)
Ni (0.500, 0.500, 0.500)
Pd (0.250, 0.250, 0.250)
Pd (0.250, 0.750, 0.750)
Pd (0.750, 0.250, 0.750)
Pd (0.750, 0.750, 0.250)
Rh (0.250, 0.250, 0.750)
Rh (0.250, 0.750, 0.250)
Rh (0.750, 0.250, 0.250)
Rh (0.750, 0.750, 0.750)

Density functional theory data (PBE) for a relaxed structure of CuNiSbPd.

Properties
The raw formation energy is -0.15 eV per atom. As for the space group: F-43m, No. 216.

Unit cell a=6.207 b=6.207 c=6.207 alpha=90.00 beta=90.00 gamma=90.00
Atoms (fractional coordinates):
Cu (0.000, 0.000, 0.000)
Cu (0.000, 0.500, 0.500)
Cu (0.500, 0.000, 0.500)
Cu (0.500, 0.500, 0.000)
Ni (0.250, 0.250, 0.750)
Ni (0.250, 0.750, 0.250)
Ni (0.750, 0.250, 0.250)
Ni (0.750, 0.750, 0.750)
Sb (0.000, 0.000, 0.500)
Sb (0.000, 0.500, 0.000)
Sb (0.500, 0.000, 0.000)
Sb (0.500, 0.500, 0.500)
Pd (0.250, 0.250, 0.250)
Pd (0.250, 0.750, 0.750)
Pd (0.750, 0.250, 0.750)
Pd (0.750, 0.750, 0.250)

Density functional theory data (PBE) for a relaxed structure of CuNiSbPd2.

Properties
The raw formation energy is 0.82 eV per atom. As for the space group: P4/mmm, No. 123.

Unit cell a=4.645 b=4.645 c=4.629 alpha=90.00 beta=90.00 gamma=90.00
Atoms (fractional coordinates):
Cu (0.000, 0.000, 0.000)
Ni (0.500, 0.500, 0.500)
Sb (0.000, 0.000, 0.500)
Pd (0.000, 0.500, 0.000)
Pd (0.500, 0.000, 0.000)

Density functional theory data (PBE) for a relaxed structure of CuNi7Sb2Pd2.

Properties
The raw formation energy is 0.03 eV per atom. As for the space group: C2/m, No. 12.

Unit cell a=3.438 b=3.438 c=14.505 alpha=96.73 beta=96.73 gamma=90.00
Atoms (fractional coordinates):
Cu (0.000, 0.000, 0.000)
Ni (0.063, 0.563, 0.127)
Ni (0.270, 0.270, 0.541)
Ni (0.437, 0.937, 0.873)
Ni (0.500, 0.500, 0.000)
Ni (0.563, 0.063, 0.127)
Ni (0.730, 0.730, 0.459)
Ni (0.937, 0.437, 0.873)
Sb (0.182, 0.182, 0.366)
Sb (0.818, 0.818, 0.634)
Pd (0.367, 0.367, 0.732)
Pd (0.633, 0.633, 0.268)

Density functional theory data (PBE) for a relaxed structure of Sc2CuNiPd.

Properties
As for the space group: P4/mmm, No. 123. For the formation energy, the calculation gives 0.13 eV/atom.

Unit cell a=4.688 b=4.688 c=4.611 alpha=90.00 beta=90.00 gamma=90.00
Atoms (fractional coordinates):
Sc (0.000, 0.500, 0.000)
Sc (0.500, 0.000, 0.000)
Cu (0.000, 0.000, 0.500)
Ni (0.500, 0.500, 0.000)
Pd (0.500, 0.500, 0.500)

Density functional theory data (PBE) for a relaxed structure of CuNiPdSe4.

Properties
The raw formation energy is -0.25 eV per atom. As for the space group: Imma, No. 74.

Unit cell a=7.328 b=7.328 c=7.328 alpha=120.77 beta=119.50 gamma=89.77
Atoms (fractional coordinates):
Cu (0.380, 0.130, 0.250)
Cu (0.620, 0.870, 0.750)
Ni (0.000, 0.000, 0.500)
Ni (0.000, 0.500, 0.000)
Pd (0.000, 0.500, 0.500)
Pd (0.500, 0.500, 0.000)
Se (0.217, 0.745, 0.472)
Se (0.228, 0.255, 0.972)
Se (0.233, 0.245, 0.512)
Se (0.233, 0.722, 0.988)
Se (0.767, 0.278, 0.012)
Se (0.767, 0.755, 0.488)
Se (0.772, 0.745, 0.028)
Se (0.783, 0.255, 0.528)

Density functional theory data (PBE) for a relaxed structure of CuNiPd2Se6.

Properties
The raw formation energy is -0.08 eV per atom. As for the space group: C2/c, No. 15.

Unit cell a=8.645 b=8.645 c=6.301 alpha=104.98 beta=104.98 gamma=95.47
Atoms (fractional coordinates):
Cu (0.200, 0.800, 0.750)
Cu (0.800, 0.200, 0.250)
Ni (0.072, 0.928, 0.250)
Ni (0.928, 0.072, 0.750)
Pd (0.206, 0.442, 0.490)
Pd (0.442, 0.206, 0.990)
Pd (0.558, 0.794, 0.010)
Pd (0.794, 0.558, 0.510)
Se (0.040, 0.643, 0.370)
Se (0.058, 0.172, 0.148)
Se (0.172, 0.058, 0.648)
Se (0.328, 0.451, 0.171)
Se (0.357, 0.960, 0.130)
Se (0.451, 0.328, 0.671)
Se (0.549, 0.672, 0.329)
Se (0.643, 0.040, 0.870)
Se (0.672, 0.549, 0.829)
Se (0.828, 0.942, 0.352)
Se (0.942, 0.828, 0.852)
Se (0.960, 0.357, 0.630)

Density functional theory data (PBE) for a relaxed structure of CuSiNiPd.

Properties
The raw formation energy is -0.31 eV per atom. As for the space group: F-43m, No. 216.

Unit cell a=5.845 b=5.845 c=5.845 alpha=90.00 beta=90.00 gamma=90.00
Atoms (fractional coordinates):
Cu (0.000, 0.000, 0.000)
Cu (0.000, 0.500, 0.500)
Cu (0.500, 0.000, 0.500)
Cu (0.500, 0.500, 0.000)
Si (0.000, 0.000, 0.500)
Si (0.000, 0.500, 0.000)
Si (0.500, 0.000, 0.000)
Si (0.500, 0.500, 0.500)
Ni (0.250, 0.250, 0.750)
Ni (0.250, 0.750, 0.250)
Ni (0.750, 0.250, 0.250)
Ni (0.750, 0.750, 0.750)
Pd (0.250, 0.250, 0.250)
Pd (0.250, 0.750, 0.750)
Pd (0.750, 0.250, 0.750)
Pd (0.750, 0.750, 0.250)

Density functional theory data (PBE) for a relaxed structure of Sm2Cu12Ni3Pd.

Properties
As for the space group: R-3m, No. 166. For the formation energy, the calculation gives 0.47 eV/atom.

Unit cell a=7.383 b=7.383 c=7.383 alpha=64.63 beta=64.63 gamma=64.63
Atoms (fractional coordinates):
Sm (0.111, 0.111, 0.111)
Sm (0.889, 0.889, 0.889)
Cu (0.119, 0.636, 0.636)
Cu (0.141, 0.141, 0.610)
Cu (0.141, 0.610, 0.141)
Cu (0.364, 0.364, 0.881)
Cu (0.364, 0.881, 0.364)
Cu (0.390, 0.859, 0.859)
Cu (0.610, 0.141, 0.141)
Cu (0.636, 0.119, 0.636)
Cu (0.636, 0.636, 0.119)
Cu (0.859, 0.390, 0.859)
Cu (0.859, 0.859, 0.390)
Cu (0.881, 0.364, 0.364)
Ni (0.000, 0.500, 0.500)
Ni (0.500, 0.000, 0.500)
Ni (0.500, 0.500, 0.000)
Pd (0.500, 0.500, 0.500)

Density functional theory data (PBE) for a relaxed structure of TaCuNiPd.

Properties
As for the space group: F-43m, No. 216. For the formation energy, the calculation gives -0.13 eV/atom.

Unit cell a=6.097 b=6.097 c=6.097 alpha=90.00 beta=90.00 gamma=90.00
Atoms (fractional coordinates):
Ta (0.000, 0.000, 0.000)
Ta (0.000, 0.500, 0.500)
Ta (0.500, 0.000, 0.500)
Ta (0.500, 0.500, 0.000)
Cu (0.000, 0.000, 0.500)
Cu (0.000, 0.500, 0.000)
Cu (0.500, 0.000, 0.000)
Cu (0.500, 0.500, 0.500)
Ni (0.250, 0.250, 0.750)
Ni (0.250, 0.750, 0.250)
Ni (0.750, 0.250, 0.250)
Ni (0.750, 0.750, 0.750)
Pd (0.250, 0.250, 0.250)
Pd (0.250, 0.750, 0.750)
Pd (0.750, 0.250, 0.750)
Pd (0.750, 0.750, 0.250)

Density functional theory data (PBE) for a relaxed structure of TbCuNiPd.

Properties
As for the space group: F-43m, No. 216. For the formation energy, the calculation gives -0.32 eV/atom.

Unit cell a=6.424 b=6.424 c=6.424 alpha=90.00 beta=90.00 gamma=90.00
Atoms (fractional coordinates):
Tb (0.000, 0.000, 0.000)
Tb (0.000, 0.500, 0.500)
Tb (0.500, 0.000, 0.500)
Tb (0.500, 0.500, 0.000)
Cu (0.000, 0.000, 0.500)
Cu (0.000, 0.500, 0.000)
Cu (0.500, 0.000, 0.000)
Cu (0.500, 0.500, 0.500)
Ni (0.250, 0.250, 0.250)
Ni (0.250, 0.750, 0.750)
Ni (0.750, 0.250, 0.750)
Ni (0.750, 0.750, 0.250)
Pd (0.250, 0.250, 0.750)
Pd (0.250, 0.750, 0.250)
Pd (0.750, 0.250, 0.250)
Pd (0.750, 0.750, 0.750)

Density functional theory data (PBE) for a relaxed structure of Cu2TcNiPd.

Properties
As for the space group: P4/mmm, No. 123. For the formation energy, the calculation gives 1.41 eV/atom.

Unit cell a=4.586 b=4.586 c=4.359 alpha=90.00 beta=90.00 gamma=90.00
Atoms (fractional coordinates):
Cu (0.000, 0.500, 0.000)
Cu (0.500, 0.000, 0.000)
Tc (0.000, 0.000, 0.000)
Ni (0.000, 0.000, 0.500)
Pd (0.500, 0.500, 0.500)

Density functional theory data (PBE) for a relaxed structure of CuNiTePd.

Properties
The raw formation energy is 0.00 eV per atom. As for the space group: F-43m, No. 216.

Unit cell a=6.273 b=6.273 c=6.273 alpha=90.00 beta=90.00 gamma=90.00
Atoms (fractional coordinates):
Cu (0.000, 0.000, 0.000)
Cu (0.000, 0.500, 0.500)
Cu (0.500, 0.000, 0.500)
Cu (0.500, 0.500, 0.000)
Ni (0.250, 0.250, 0.250)
Ni (0.250, 0.750, 0.750)
Ni (0.750, 0.250, 0.750)
Ni (0.750, 0.750, 0.250)
Te (0.000, 0.000, 0.500)
Te (0.000, 0.500, 0.000)
Te (0.500, 0.000, 0.000)
Te (0.500, 0.500, 0.500)
Pd (0.250, 0.250, 0.750)
Pd (0.250, 0.750, 0.250)
Pd (0.750, 0.250, 0.250)
Pd (0.750, 0.750, 0.750)

Density functional theory data (PBE) for a relaxed structure of CuNi3Te8Pd2.

Properties
The raw formation energy is -0.23 eV per atom. As for the space group: R3m, No. 160.

Unit cell a=7.839 b=7.839 c=7.839 alpha=59.05 beta=59.05 gamma=59.05
Atoms (fractional coordinates):
Cu (0.000, 0.000, 0.000)
Ni (0.373, 0.373, 0.873)
Ni (0.373, 0.873, 0.373)
Ni (0.873, 0.373, 0.373)
Te (0.127, 0.127, 0.592)
Te (0.127, 0.592, 0.127)
Te (0.134, 0.134, 0.134)
Te (0.160, 0.616, 0.616)
Te (0.592, 0.127, 0.127)
Te (0.609, 0.609, 0.609)
Te (0.616, 0.160, 0.616)
Te (0.616, 0.616, 0.160)
Pd (0.372, 0.372, 0.372)
Pd (0.746, 0.746, 0.746)

Density functional theory data (PBE) for a relaxed structure of CuNi2TePd.

Properties
The raw formation energy is 0.68 eV per atom. As for the space group: P4/mmm, No. 123.

Unit cell a=4.355 b=4.355 c=4.629 alpha=90.00 beta=90.00 gamma=90.00
Atoms (fractional coordinates):
Cu (0.000, 0.000, 0.000)
Ni (0.000, 0.500, 0.000)
Ni (0.500, 0.000, 0.000)
Te (0.500, 0.500, 0.500)
Pd (0.000, 0.000, 0.500)

Density functional theory data (PBE) for a relaxed structure of Th2Cu3Ni12Pd.

Properties
As for the space group: R-3m, No. 166. For the formation energy, the calculation gives 0.16 eV/atom.

Unit cell a=9.139 b=9.139 c=9.139 alpha=38.97 beta=38.97 gamma=38.97
Atoms (fractional coordinates):
Th (0.138, 0.138, 0.138)
Th (0.862, 0.862, 0.862)
Cu (0.000, 0.500, 0.500)
Cu (0.500, 0.000, 0.500)
Cu (0.500, 0.500, 0.000)
Ni (0.049, 0.629, 0.629)
Ni (0.082, 0.082, 0.701)
Ni (0.082, 0.701, 0.082)
Ni (0.299, 0.918, 0.918)
Ni (0.371, 0.371, 0.951)
Ni (0.371, 0.951, 0.371)
Ni (0.629, 0.049, 0.629)
Ni (0.629, 0.629, 0.049)
Ni (0.701, 0.082, 0.082)
Ni (0.918, 0.299, 0.918)
Ni (0.918, 0.918, 0.299)
Ni (0.951, 0.371, 0.371)
Pd (0.500, 0.500, 0.500)

Density functional theory data (PBE) for a relaxed structure of TiCuNiPd.

Properties
As for the space group: I-4m2, No. 119. For the formation energy, the calculation gives -0.41 eV/atom.

Unit cell a=3.794 b=3.794 c=7.424 alpha=90.00 beta=90.00 gamma=90.00
Atoms (fractional coordinates):
Ti (0.000, 0.000, 0.000)
Ti (0.500, 0.500, 0.500)
Cu (0.000, 0.000, 0.500)
Cu (0.500, 0.500, 0.000)
Ni (0.000, 0.500, 0.250)
Ni (0.500, 0.000, 0.750)
Pd (0.000, 0.500, 0.750)
Pd (0.500, 0.000, 0.250)

Calculated energy (eV per atom), listed in the same order as above: -4.4822, -5.1326, -5.1721, -4.0458, -4.8524, -4.7912, -5.5319, -4.9512, -4.0569, -5.2358, -5.4169, -4.3987, -4.1970, -5.4332, -4.0333, -6.8601, -5.2478, -4.5010, -4.5560, -4.2970, -4.1153, -5.4851, -6.1548